Below is SrNb3O after structural relaxation, with properties calculated at the GGA-PBE level.

Unit cell a=4.8690 b=4.8690 c=4.8690 alpha=90.00 beta=90.00 gamma=90.00
Last column: nearest neighbours and their distance in Å.
Space group Pm-3m (No. 221)
Asymmetric unit:
Sr  0.0000  0.0000  0.0000  6 Nb 2.43
Nb  0.0000  0.0000  0.5000  2 Sr 2.43
O  0.5000  0.5000  0.5000  12 Nb 3.44

## Properties
- total moment (μB/f.u.) = 0.0
- DOS(E_F) (states/eV per atom) = 1.2990
- E above lowest polymorph (eV per atom) = 3.126

=====

Below is SrNbO3 after structural relaxation, with properties calculated at the GGA-PBE level.

Unit cell a=4.0102 b=12.0607 c=5.8860 alpha=90.00 beta=90.00 gamma=90.00
Last column: nearest neighbours and their distance in Å.
Space group Cmcm (No. 63)
Asymmetric unit:
Sr  0.0000  0.2045  0.2500  7 O 2.52-2.60
Nb  0.0000  0.4900  0.2500  6 O 2.01-2.20
O  0.0000  0.0058  0.7500  2 Nb 2.01
O  0.0000  0.3695  0.5122  2 Nb 2.12-2.20

## Properties
- total moment (μB/f.u.) = 0.0
- calculated total energy (eV per atom) = -7.991
- DOS(E_F) (states/eV per atom) = 0.2878

=====

Below is SrNb6O8 after structural relaxation, with properties calculated at the GGA-PBE level.

Unit cell a=8.4894 b=8.4894 c=10.4387 alpha=90.00 beta=90.00 gamma=120.00
Last column: nearest neighbours and their distance in Å.
Space group R-3 (No. 148, hexagonal axes)
Asymmetric unit:
Sr  0.0000  0.0000  0.0000  2 O 2.41
Nb  0.0159  0.1877  0.3817  5 O 2.19-2.24
O  0.0000  0.0000  0.2310  3 Nb 2.19, 1 Sr 2.41
O  0.0246  0.3060  0.5749  4 Nb 2.19-2.24

## Properties
- total moment (μB/f.u.) = 0.0
- calculated total energy (eV per atom) = -8.571
- DOS(E_F) (states/eV per atom) = 0.4009

=====

Below is SrNbO3 after structural relaxation, with properties calculated at the GGA-PBE level.

Unit cell a=3.4784 b=15.0495 c=6.8273 alpha=90.00 beta=90.00 gamma=90.00
Last column: nearest neighbours and their distance in Å.
Space group Cmcm (No. 63)
Asymmetric unit:
Sr  0.0000  0.1511  0.2500  6 O 2.58-2.59
Nb  0.0000  0.4004  0.2500  3 O 1.85-1.86
O  0.0000  0.3311  0.0255  1 Nb 1.85
O  0.0000  0.4763  0.7500  1 Nb 1.86

## Properties
- total moment (μB/f.u.) = 0.0
- calculated total energy (eV per atom) = -7.799
- DOS(E_F) (states/eV per atom) = 0.0660

=====

Below is SrNbO3 after structural relaxation, with properties calculated at the GGA-PBE level.

Unit cell a=5.6374 b=9.5918 c=6.2252 alpha=90.00 beta=90.00 gamma=90.00
Last column: nearest neighbours and their distance in Å.
Space group Pnma (No. 62)
Asymmetric unit:
Sr  0.0000  0.0000  0.0000  4 O 2.50
Nb  0.0378  0.2500  0.4825  3 O 1.85-2.03
O  0.1155  0.0925  0.6403  1 Nb 1.85
O  0.2367  0.2500  0.2100  2 Nb 2.03-2.08

## Properties
- total moment (μB/f.u.) = 0.0
- calculated total energy (eV per atom) = -7.789
- DOS(E_F) (states/eV per atom) = 0.0000

=====

Below is SrNbO3 after structural relaxation, with properties calculated at the GGA-PBE level.

Unit cell a=3.7018 b=6.4408 c=9.5175 alpha=90.00 beta=90.00 gamma=90.00
Last column: nearest neighbours and their distance in Å.
Space group Amm2 (No. 38)
Asymmetric unit:
Sr  0.0000  0.0000  0.0000  5 O 2.50
Nb  0.5000  0.0000  0.6538  4 O 1.88-2.02
O  0.0000  0.0000  0.7377  2 Nb 2.02
O  0.5000  0.2451  0.0585  1 Nb 1.88

## Properties
- total moment (μB/f.u.) = 1.0
- calculated total energy (eV per atom) = -7.835
- DOS(E_F) (states/eV per atom) = 0.2550